[1]
# Cs2KP2O6

Cs2KP2O6 after structural relaxation (PBE, the Alexandria database). Values from VASP.

crystal system = monoclinic
formation energy (no corrections) = -2.084 eV/atom
spin magnetization = 1.001 Bohr magnetons per cell

Quantum ESPRESSO input file:
```
&SYSTEM
  ibrav = 0, nat = 11, ntyp = 4
/
ATOMIC_SPECIES
Cs 132.91 Cs.upf
O 16.00 O.upf
K 39.10 K.upf
P 30.97 P.upf
ATOMIC_POSITIONS crystal
Cs 0.7194 0.4389 0.1840
Cs 0.2806 0.5611 0.8160
O 0.2090 0.4180 0.2720
O 0.8020 0.0095 0.7740
O 0.1980 0.9905 0.2260
O 0.2075 0.0095 0.7740
O 0.7925 0.9905 0.2260
O 0.7910 0.5820 0.7280
K 0.5000 0.0000 0.5000
P 0.9459 0.8917 0.8049
P 0.0541 0.1083 0.1951
CELL_PARAMETERS angstrom
-0.5445 -2.8390 5.7070
-4.5232 -1.0085 -4.5189
6.5066 -3.2416 -0.9918
```

***

[2]
# Cs2KPaO4

Cs2KPaO4 after structural relaxation (PBE, the Alexandria database). Values from VASP.

crystal system = monoclinic
formation energy (no corrections) = -2.384 eV/atom
spin magnetization = 0.000 Bohr magnetons per cell

Quantum ESPRESSO input file:
```
&SYSTEM
  ibrav = 0, nat = 8, ntyp = 4
/
ATOMIC_SPECIES
Cs 132.91 Cs.upf
K 39.10 K.upf
O 16.00 O.upf
Pa 231.04 Pa.upf
ATOMIC_POSITIONS crystal
Cs 0.5000 0.0000 0.5000
Cs 0.0000 0.5000 0.5000
K 0.5000 0.5000 0.0000
O 0.5000 0.1855 0.1771
O 0.0000 0.1887 0.8366
O 0.0000 0.8113 0.1634
O 0.5000 0.8145 0.8229
Pa 0.0000 0.0000 0.0000
CELL_PARAMETERS angstrom
-1.7324 -0.5265 -3.2465
-3.8489 -4.8722 2.8440
-3.1634 6.5668 0.6231
```

***

[3]
# CsK2Pa2O7

CsK2Pa2O7 after structural relaxation (PBE, the Alexandria database). Values from VASP.

crystal system = tetragonal
formation energy (no corrections) = -2.654 eV/atom
spin magnetization = 0.427 Bohr magnetons per cell

Quantum ESPRESSO input file:
```
&SYSTEM
  ibrav = 0, nat = 12, ntyp = 4
/
ATOMIC_SPECIES
Pa 231.04 Pa.upf
O 16.00 O.upf
K 39.10 K.upf
Cs 132.91 Cs.upf
ATOMIC_POSITIONS crystal
Pa 0.6012 0.6011 0.2024
Pa 0.3989 0.3988 0.7976
O 0.5000 0.5000 0.0000
O 0.1019 0.6018 0.2039
O 0.8981 0.3981 0.7961
O 0.6019 0.1019 0.2040
O 0.3981 0.8980 0.7960
O 0.6935 0.6935 0.3869
O 0.3065 0.3065 0.6131
K 0.7498 0.2499 0.4997
K 0.2502 0.7501 0.5003
Cs 0.0000 0.0000 0.0000
CELL_PARAMETERS angstrom
-1.0389 4.1642 -1.3956
-3.7047 -1.6022 -2.0227
-3.3585 0.3687 10.8986
```

***

[4]
# Cs2KPb3O8

Cs2KPb3O8 after structural relaxation (PBE, the Alexandria database). Values from VASP.

crystal system = trigonal
formation energy (no corrections) = -0.987 eV/atom
spin magnetization = 1.064 Bohr magnetons per cell

Quantum ESPRESSO input file:
```
&SYSTEM
  ibrav = 0, nat = 14, ntyp = 4
/
ATOMIC_SPECIES
Cs 132.91 Cs.upf
O 16.00 O.upf
Pb 207.20 Pb.upf
K 39.10 K.upf
ATOMIC_POSITIONS crystal
Cs 0.4987 0.4987 0.5038
Cs 0.1296 0.1296 0.6111
O 0.2379 0.2379 0.8468
O 0.6773 0.2379 0.8468
O 0.2746 0.2746 0.1762
O 0.3144 0.7601 0.1654
O 0.7601 0.7601 0.1654
O 0.2379 0.6773 0.8468
O 0.7601 0.3144 0.1654
O 0.7217 0.7217 0.8349
Pb 0.9965 0.4983 0.0070
Pb 0.4983 0.9965 0.0070
Pb 0.4983 0.4983 0.0070
K 0.8873 0.8873 0.3382
CELL_PARAMETERS angstrom
6.8961 0.0000 0.0000
3.4481 5.9722 0.0000
3.4481 1.9907 7.1966
```

***

[5]
# Cs2K6PbO

Cs2K6PbO after structural relaxation (PBE, the Alexandria database). Values from VASP.

crystal system = monoclinic
formation energy (no corrections) = -0.318 eV/atom
spin magnetization = 0.001 Bohr magnetons per cell

Quantum ESPRESSO input file:
```
&SYSTEM
  ibrav = 0, nat = 20, ntyp = 4
/
ATOMIC_SPECIES
K 39.10 K.upf
Pb 207.20 Pb.upf
Cs 132.91 Cs.upf
O 16.00 O.upf
ATOMIC_POSITIONS crystal
K 0.3130 0.2388 0.5249
K 0.6867 0.2391 0.4750
K 0.1870 0.7388 0.9751
K 0.8133 0.7391 0.0250
K 0.4425 0.0002 0.7128
K 0.0575 0.5002 0.7872
K 0.5575 0.9998 0.2872
K 0.3133 0.7609 0.5250
K 0.1867 0.2609 0.9750
K 0.8130 0.2612 0.0249
K 0.6870 0.7612 0.4751
K 0.9425 0.4998 0.2128
Pb 0.0000 0.5000 0.5000
Pb 0.5000 0.0000 0.0000
Cs 0.6100 0.5000 0.8021
Cs 0.8900 0.0000 0.6979
Cs 0.3900 0.5000 0.1979
Cs 0.1100 0.0000 0.3021
O 0.0000 0.5000 0.0000
O 0.5000 0.0000 0.5000
CELL_PARAMETERS angstrom
-8.9330 3.3870 -4.2063
-0.4974 -6.7817 -4.4043
-10.1755 -4.1148 7.4851
```

***

[6]
# CsKPbO3

CsKPbO3 after structural relaxation (PBE, the Alexandria database). Values from VASP.

crystal system = orthorhombic
formation energy (no corrections) = -1.236 eV/atom
spin magnetization = 0.113 Bohr magnetons per cell

Quantum ESPRESSO input file:
```
&SYSTEM
  ibrav = 0, nat = 12, ntyp = 4
/
ATOMIC_SPECIES
O 16.00 O.upf
Cs 132.91 Cs.upf
Pb 207.20 Pb.upf
K 39.10 K.upf
ATOMIC_POSITIONS crystal
O 0.0000 0.2128 0.0000
O 0.0000 0.7872 0.0000
O 0.5000 0.7872 0.0000
O 0.2500 0.2146 0.4293
O 0.5000 0.2128 0.0000
O 0.7500 0.7854 0.5707
Cs 0.2500 0.7492 0.4984
Cs 0.7500 0.2508 0.5016
Pb 0.7500 0.9459 0.8918
Pb 0.2500 0.0541 0.1082
K 0.7500 0.5828 0.1656
K 0.2500 0.4172 0.8344
CELL_PARAMETERS angstrom
-5.4328 2.9824 0.3490
-2.0501 -3.0854 -5.5461
-1.3903 -3.2753 6.3462
```

***

Number 1: mass density 3419 kg/m3. Number 2: mass density 5753 kg/m3. Number 3: mass density 5841 kg/m3. Number 4: mass density 5908 kg/m3. Number 5: mass density 2264 kg/m3. Number 6: mass density 5300 kg/m3.